A:
Co2AgRh2 | PBE | relaxed

Cell: 7.3244 7.3244 2.6725 Å, 90.00 90.00 90.00°
Last column: nearest neighbours and their distance in Å.
Sites, in units of the cell vectors:
Co (0.1650, 0.3350, 0.0000)  6 Rh 2.51-2.55, 2 Co 2.67
Co (0.3350, 0.8350, 0.0000)  6 Rh 2.51-2.55, 2 Co 2.67
Co (0.6650, 0.1650, 0.0000)  6 Rh 2.51-2.55, 2 Co 2.67
Co (0.8350, 0.6650, 0.0000)  6 Rh 2.51-2.55, 2 Co 2.67
Ag (0.0000, 0.0000, 0.5000)  2 Ag 2.67, 4 Rh 2.87
Ag (0.5000, 0.5000, 0.5000)  2 Ag 2.67, 4 Rh 2.87
Rh (0.1297, 0.6297, 0.5000)  6 Co 2.51-2.55, 3 Rh 2.67-2.69
Rh (0.3703, 0.1297, 0.5000)  6 Co 2.51-2.55, 3 Rh 2.67-2.69
Rh (0.6297, 0.8703, 0.5000)  6 Co 2.51-2.55, 3 Rh 2.67-2.69
Rh (0.8703, 0.3703, 0.5000)  6 Co 2.51-2.55, 3 Rh 2.67-2.69

Computed properties:
Total moment (Bohr magnetons per cell): 10.0
Space group: No. 127

B:
Co2AgRh2 | PBE | relaxed

Cell: 7.2343 7.2343 2.7023 Å, 90.00 90.00 90.00°
Last column: nearest neighbours and their distance in Å.
Sites, in units of the cell vectors:
Co (0.1209, 0.3791, 0.0000)  3 Co 2.47-2.70, 6 Rh 2.53
Co (0.3791, 0.8791, 0.0000)  3 Co 2.47-2.70, 6 Rh 2.53
Co (0.6209, 0.1209, 0.0000)  3 Co 2.47-2.70, 6 Rh 2.53
Co (0.8791, 0.6209, 0.0000)  3 Co 2.47-2.70, 6 Rh 2.53
Ag (0.0000, 0.0000, 0.0000)  2 Ag 2.70, 4 Co 2.88, 8 Rh 3.00
Ag (0.5000, 0.5000, 0.0000)  2 Ag 2.70, 4 Co 2.88, 8 Rh 3.00
Rh (0.1706, 0.6706, 0.5000)  6 Co 2.53, 2 Rh 2.70
Rh (0.3294, 0.1706, 0.5000)  6 Co 2.53, 2 Rh 2.70
Rh (0.6706, 0.8294, 0.5000)  6 Co 2.53, 2 Rh 2.70
Rh (0.8294, 0.3294, 0.5000)  6 Co 2.53, 2 Rh 2.70

Computed properties:
Total moment (Bohr magnetons per cell): 10.3
Space group: No. 127

Best to worst by energy: B, A.

A:
CoAgRh | PBE | relaxed

Cell: 4.1210 4.1210 4.1210 Å, 60.00 60.00 60.00°
Last column: nearest neighbours and their distance in Å.
Sites, in units of the cell vectors:
Co (0.0000, 0.0000, 0.0000)  4 Ag 2.52, 4 Rh 2.52
Ag (0.7500, 0.7500, 0.7500)  4 Co 2.52
Rh (0.2500, 0.2500, 0.2500)  4 Co 2.52

Computed properties:
Total moment (Bohr magnetons per cell): 2.9
Space group: No. 216

B:
CoAgRh | PBE | relaxed

Cell: 4.9963 4.9963 4.9963 Å, 147.75 138.38 53.61°
Last column: nearest neighbours and their distance in Å.
Sites, in units of the cell vectors:
Co (0.0000, 0.0000, 0.0000)  4 Rh 2.54, 4 Ag 2.76, 2 Co 2.78
Ag (0.3207, 0.3207, 0.0000)  5 Co 2.76-2.86, 5 Rh 2.77-2.82, 2 Ag 2.78
Rh (0.6310, 0.6310, 0.0000)  4 Co 2.54, 5 Ag 2.77-2.82, 2 Rh 2.78

Computed properties:
Total moment (Bohr magnetons per cell): 2.7
Space group: No. 44

Best to worst by energy: B, A.

A:
CoAgRh | PBE | relaxed

Cell: 2.7323 2.7323 6.7373 Å, 90.00 90.00 120.00°
Last column: nearest neighbours and their distance in Å.
Sites, in units of the cell vectors:
Co (0.0000, 0.0000, 0.0000)  3 Rh 2.53, 6 Co 2.73, 3 Ag 2.78
Ag (0.3333, 0.6667, 0.6595)  6 Ag 2.73, 3 Co 2.78, 3 Rh 2.92
Rh (0.6667, 0.3333, 0.2945)  3 Co 2.53, 6 Rh 2.73

Computed properties:
Total moment (Bohr magnetons per cell): 2.5
Space group: No. 156

B:
CoAgRh | PBE | relaxed

Cell: 4.3291 4.3291 9.1060 Å, 113.19 113.19 36.25°
Last column: nearest neighbours and their distance in Å.
Sites, in units of the cell vectors:
Co (0.1725, 0.1725, 0.0768)  4 Rh 2.43-2.58, 5 Co 2.59-2.69
Co (0.8275, 0.8275, 0.9232)  4 Rh 2.43-2.58, 5 Co 2.59-2.69
Ag (0.3230, 0.3230, 0.4080)  5 Ag 2.69-2.78, 3 Rh 2.73-2.81, 1 Co 2.74
Ag (0.6770, 0.6770, 0.5920)  5 Ag 2.69-2.78, 3 Rh 2.73-2.81, 1 Co 2.74
Rh (0.0353, 0.0353, 0.7834)  4 Co 2.43-2.58, 2 Rh 2.69
Rh (0.9647, 0.9647, 0.2166)  4 Co 2.43-2.58, 2 Rh 2.69

Computed properties:
Total moment (Bohr magnetons per cell): 5.6
Space group: No. 12

Best to worst by energy: A, B.